[1]
DFT (PBE-GGA) results for a relaxed structure of LiCu2Os.

Unit cell a=9.763 b=2.487 c=4.679 alpha=90.00 beta=115.52 gamma=90.00
Fractional positions:
Li: 0.000 0.000 0.000
Li: 0.500 0.500 0.000
Cu: 0.002 0.500 0.493
Cu: 0.244 0.000 0.931
Cu: 0.502 0.000 0.493
Cu: 0.744 0.500 0.931
Os: 0.258 0.500 0.443
Os: 0.758 0.000 0.443

Summary:
- Energy above the lowest structure with this stoichiometry: 37 meV per atom
- ΔH_f (0 K): 0.117 eV per atom

[2]
DFT (PBE-GGA) results for a relaxed structure of LiCu2Os.

Unit cell a=8.834 b=2.482 c=4.731 alpha=90.00 beta=96.57 gamma=90.00
Fractional positions:
Li: 0.000 0.000 0.000
Li: 0.500 0.500 0.000
Cu: 0.245 0.000 0.746
Cu: 0.255 0.500 0.254
Cu: 0.745 0.500 0.746
Cu: 0.755 0.000 0.254
Os: 0.000 0.500 0.500
Os: 0.500 0.000 0.500

Summary:
- Energy above the lowest structure with this stoichiometry: 159 meV per atom
- ΔH_f (0 K): 0.239 eV per atom

[3]
DFT (PBE-GGA) results for a relaxed structure of Li2CuOs.

Unit cell a=4.501 b=4.501 c=2.519 alpha=90.00 beta=90.00 gamma=90.00
Fractional positions:
Li: 0.000 0.500 0.000
Li: 0.500 0.000 0.000
Cu: 0.000 0.000 0.500
Os: 0.500 0.500 0.500

Summary:
- Energy above the lowest structure with this stoichiometry: 288 meV per atom
- ΔH_f (0 K): 0.375 eV per atom

[4]
DFT (PBE-GGA) results for a relaxed structure of Li2CuOs.

Unit cell a=3.616 b=3.616 c=3.889 alpha=90.00 beta=90.00 gamma=90.00
Fractional positions:
Li: 0.000 0.500 0.000
Li: 0.500 0.000 0.000
Cu: 0.000 0.000 0.500
Os: 0.500 0.500 0.500

Summary:
- Energy above the lowest structure with this stoichiometry: 304 meV per atom
- ΔH_f (0 K): 0.391 eV per atom

[5]
DFT (PBE-GGA) results for a relaxed structure of LiCu2Os.

Unit cell a=3.624 b=3.624 c=7.673 alpha=90.00 beta=90.00 gamma=90.00
Fractional positions:
Li: 0.000 0.000 0.000
Li: 0.500 0.500 0.500
Cu: 0.000 0.000 0.500
Cu: 0.000 0.500 0.250
Cu: 0.500 0.000 0.750
Cu: 0.500 0.500 0.000
Os: 0.000 0.500 0.750
Os: 0.500 0.000 0.250

Summary:
- Energy above the lowest structure with this stoichiometry: 347 meV per atom
- ΔH_f (0 K): 0.427 eV per atom

[6]
DFT (PBE-GGA) results for a relaxed structure of Li2CuOs.

Unit cell a=2.637 b=2.637 c=26.772 alpha=90.00 beta=90.00 gamma=120.00
Fractional positions:
Li: 0.000 0.000 0.249
Li: 0.000 0.000 0.751
Li: 0.333 0.667 0.418
Li: 0.333 0.667 0.916
Li: 0.667 0.333 0.084
Li: 0.667 0.333 0.582
Cu: 0.000 0.000 0.500
Cu: 0.333 0.667 0.167
Cu: 0.667 0.333 0.833
Os: 0.000 0.000 0.000
Os: 0.333 0.667 0.667
Os: 0.667 0.333 0.333

Summary:
- Energy above the lowest structure with this stoichiometry: 0 meV per atom
- ΔH_f (0 K): 0.087 eV per atom

[7]
DFT (PBE-GGA) results for a relaxed structure of LiCu2Os.

Unit cell a=5.400 b=7.547 c=2.511 alpha=90.00 beta=90.00 gamma=90.00
Fractional positions:
Li: 0.000 0.000 0.000
Li: 0.500 0.500 0.000
Cu: 0.250 0.250 0.500
Cu: 0.250 0.750 0.500
Cu: 0.750 0.250 0.500
Cu: 0.750 0.750 0.500
Os: 0.000 0.500 0.000
Os: 0.500 0.000 0.000

Summary:
- Energy above the lowest structure with this stoichiometry: 0 meV per atom
- ΔH_f (0 K): 0.080 eV per atom

[8]
DFT (PBE-GGA) results for a relaxed structure of LiCu2OsPb.

Unit cell a=4.722 b=4.722 c=4.572 alpha=90.00 beta=90.00 gamma=90.00
Fractional positions:
Li: 0.000 0.000 0.000
Cu: 0.000 0.500 0.500
Cu: 0.500 0.000 0.500
Os: 0.500 0.500 0.000
Pb: 0.000 0.000 0.500

Summary:
- ΔH_f (0 K): 1.715 eV per atom

[9]
DFT (PBE-GGA) results for a relaxed structure of LiCuOsRu.

Unit cell a=5.926 b=5.926 c=5.926 alpha=90.00 beta=90.00 gamma=90.00
Fractional positions:
Li: 0.000 0.000 0.000
Li: 0.000 0.500 0.500
Li: 0.500 0.000 0.500
Li: 0.500 0.500 0.000
Cu: 0.250 0.250 0.250
Cu: 0.250 0.750 0.750
Cu: 0.750 0.250 0.750
Cu: 0.750 0.750 0.250
Os: 0.250 0.250 0.750
Os: 0.250 0.750 0.250
Os: 0.750 0.250 0.250
Os: 0.750 0.750 0.750
Ru: 0.000 0.000 0.500
Ru: 0.000 0.500 0.000
Ru: 0.500 0.000 0.000
Ru: 0.500 0.500 0.500

Summary:
- ΔH_f (0 K): 0.199 eV per atom

[10]
DFT (PBE-GGA) results for a relaxed structure of LiCu2SiOs.

Unit cell a=3.894 b=3.894 c=4.303 alpha=90.00 beta=90.00 gamma=90.00
Fractional positions:
Li: 0.000 0.000 0.000
Cu: 0.000 0.500 0.000
Cu: 0.500 0.000 0.000
Si: 0.500 0.500 0.500
Os: 0.000 0.000 0.500

Summary:
- Formation energy without anion corrections: 0.92 eV per atom

[11]
DFT (PBE-GGA) results for a relaxed structure of LiCuSiOs.

Unit cell a=5.776 b=5.776 c=5.776 alpha=90.00 beta=90.00 gamma=90.00
Fractional positions:
Li: 0.000 0.000 0.000
Li: 0.000 0.500 0.500
Li: 0.500 0.000 0.500
Li: 0.500 0.500 0.000
Cu: 0.250 0.250 0.250
Cu: 0.250 0.750 0.750
Cu: 0.750 0.250 0.750
Cu: 0.750 0.750 0.250
Si: 0.000 0.000 0.500
Si: 0.000 0.500 0.000
Si: 0.500 0.000 0.000
Si: 0.500 0.500 0.500
Os: 0.250 0.250 0.750
Os: 0.250 0.750 0.250
Os: 0.750 0.250 0.250
Os: 0.750 0.750 0.750

Summary:
- Formation energy without anion corrections: -0.14 eV per atom

[12]
DFT (PBE-GGA) results for a relaxed structure of LiTaCuOs.

Unit cell a=6.135 b=6.135 c=6.135 alpha=90.00 beta=90.00 gamma=90.00
Fractional positions:
Li: 0.000 0.000 0.000
Li: 0.000 0.500 0.500
Li: 0.500 0.000 0.500
Li: 0.500 0.500 0.000
Ta: 0.000 0.000 0.500
Ta: 0.000 0.500 0.000
Ta: 0.500 0.000 0.000
Ta: 0.500 0.500 0.500
Cu: 0.250 0.250 0.250
Cu: 0.250 0.750 0.750
Cu: 0.750 0.250 0.750
Cu: 0.750 0.750 0.250
Os: 0.250 0.250 0.750
Os: 0.250 0.750 0.250
Os: 0.750 0.250 0.250
Os: 0.750 0.750 0.750

Summary:
- ΔH_f (0 K): 0.034 eV per atom

[13]
DFT (PBE-GGA) results for a relaxed structure of LiCuTcOs.

Unit cell a=5.957 b=5.957 c=5.957 alpha=90.00 beta=90.00 gamma=90.00
Fractional positions:
Li: 0.000 0.000 0.000
Li: 0.000 0.500 0.500
Li: 0.500 0.000 0.500
Li: 0.500 0.500 0.000
Cu: 0.250 0.250 0.250
Cu: 0.250 0.750 0.750
Cu: 0.750 0.250 0.750
Cu: 0.750 0.750 0.250
Tc: 0.000 0.000 0.500
Tc: 0.000 0.500 0.000
Tc: 0.500 0.000 0.000
Tc: 0.500 0.500 0.500
Os: 0.250 0.250 0.750
Os: 0.250 0.750 0.250
Os: 0.750 0.250 0.250
Os: 0.750 0.750 0.750

Summary:
- ΔH_f (0 K): 0.181 eV per atom

[14]
DFT (PBE-GGA) results for a relaxed structure of LiV2CuOs.

Unit cell a=4.566 b=4.566 c=4.677 alpha=90.00 beta=90.00 gamma=90.00
Fractional positions:
Li: 0.000 0.000 0.000
V: 0.000 0.500 0.500
V: 0.500 0.000 0.500
Cu: 0.500 0.500 0.000
Os: 0.000 0.000 0.500

Summary:
- ΔH_f (0 K): 1.114 eV per atom

[15]
DFT (PBE-GGA) results for a relaxed structure of LiZrCuOs2.

Unit cell a=4.617 b=4.617 c=3.839 alpha=90.00 beta=90.00 gamma=90.00
Fractional positions:
Li: 0.000 0.000 0.000
Zr: 0.500 0.500 0.000
Cu: 0.000 0.000 0.500
Os: 0.000 0.500 0.500
Os: 0.500 0.000 0.500

Summary:
- ΔH_f (0 K): 0.754 eV per atom